Entry 1:
VASP calculation (PBE-GGA) on a geometry-optimized RbTa2Se4 structure.

Cell and atoms, written as POSCAR:
```
RbTa2Se4
1.0
8.6763 -1.7889 0.0000
8.6763 1.7889 0.0000
-1.5099 0.0000 6.0785
Rb Ta Se
1 2 4
Direct
0.0000 0.0000 0.0000
0.2526 0.2526 0.3019
0.7474 0.7474 0.6981
0.1419 0.1419 0.5198
0.3314 0.3314 0.9741
0.6686 0.6686 0.0259
0.8581 0.8581 0.4802
```

Summary:
Distance to the lowest polymorph of the same formula in meV/atom: 0.0
ρ in kg/m³: 6717
Uncorrected formation energy in eV/atom: -0.9130

Entry 2:
VASP calculation (PBE-GGA) on a geometry-optimized CaPr2Sc structure.

Cell and atoms, written as POSCAR:
```
CaPr2Sc
1.0
3.8334 0.0000 0.0000
0.0000 3.8334 0.0000
0.0000 0.0000 9.3905
Ca Pr Sc
1 2 1
Direct
0.0000 0.0000 0.0000
0.5000 0.5000 0.2848
0.5000 0.5000 0.7152
0.0000 0.0000 0.5000
```

Summary:
Distance to the lowest polymorph of the same formula in meV/atom: 0.0
ρ in kg/m³: 4415
ΔE_f in eV per atom: 0.0595

Entry 3:
VASP calculation (PBE-GGA) on a geometry-optimized Li2AlTcRh structure.

Cell and atoms, written as POSCAR:
```
Li2AlTcRh
1.0
4.3398 0.0000 0.0000
0.0000 4.3398 0.0000
0.0000 0.0000 4.7287
Li Al Tc Rh
2 1 1 1
Direct
0.0000 0.5000 0.0000
0.5000 0.0000 0.0000
0.0000 0.0000 0.5000
0.5000 0.5000 0.5000
0.5000 0.5000 0.0000
```

Summary:
ρ in kg/m³: 4508
ΔE_f in eV per atom: 0.6353

Entry 4:
VASP calculation (PBE-GGA) on a geometry-optimized AcPr3Pt2 structure.

Cell and atoms, written as POSCAR:
```
AcPr3Pt2
1.0
5.0129 0.0000 0.0000
0.0000 9.2830 0.0000
0.0000 0.0000 7.5918
Ac Pr Pt
2 6 4
Direct
0.0000 0.0824 0.0000
0.0000 0.9176 0.5000
0.0000 0.3447 0.6371
0.0000 0.6553 0.1371
0.5000 0.1728 0.3545
0.5000 0.4160 0.9858
0.5000 0.5840 0.4858
0.5000 0.8272 0.8545
0.0000 0.3397 0.2407
0.0000 0.6603 0.7407
0.5000 0.1650 0.7452
0.5000 0.8350 0.2452
```

Summary:
Distance to the lowest polymorph of the same formula in meV/atom: 0.0
ρ in kg/m³: 9776
ΔE_f in eV per atom: -0.7764

Entry 5:
VASP calculation (PBE-GGA) on a geometry-optimized Ti2Hg2C structure.

Cell and atoms, written as POSCAR:
```
Ti2Hg2C
1.0
1.5790 0.9117 9.6344
-1.5790 0.9117 9.6344
0.0000 -1.8233 9.6344
Ti Hg C
2 2 1
Direct
0.1284 0.1284 0.1284
0.8716 0.8716 0.8716
0.3798 0.3798 0.3798
0.6202 0.6202 0.6202
0.5000 0.5000 0.5000
```

Summary:
ρ in kg/m³: 10156
ΔE_f in eV per atom: -0.4271

Entry 6:
VASP calculation (PBE-GGA) on a geometry-optimized K9Te2P structure.

Cell and atoms, written as POSCAR:
```
K9Te2P
1.0
8.1815 0.0000 0.0000
3.8834 12.2419 0.0000
1.8820 6.0745 12.0082
K Te P
18 4 2
Direct
0.0760 0.3188 0.0096
0.0799 0.1616 0.3268
0.0844 0.4993 0.6686
0.2287 0.9999 0.9984
0.2368 0.8508 0.3161
0.2418 0.1509 0.6782
0.3982 0.8331 0.6784
0.4006 0.6800 0.9911
0.4165 0.5003 0.3371
0.5835 0.4997 0.6629
0.5994 0.3200 0.0089
0.6018 0.1669 0.3216
0.7582 0.8491 0.3218
0.7632 0.1492 0.6839
0.7713 0.0001 0.0016
0.9156 0.5007 0.3314
0.9201 0.8384 0.6732
0.9240 0.6812 0.9904
0.2512 0.4144 0.1731
0.4158 0.2524 0.8291
0.5842 0.7476 0.1709
0.7488 0.5856 0.8269
0.0829 0.9202 0.8235
0.9171 0.0798 0.1765
```

Summary:
ρ in kg/m³: 1762
Uncorrected formation energy in eV/atom: -0.5450

Entry 7:
VASP calculation (PBE-GGA) on a geometry-optimized SmHo2Tc9 structure.

Cell and atoms, written as POSCAR:
```
SmHo2Tc9
1.0
2.6859 1.5507 8.7075
-2.6859 1.5507 8.7075
0.0000 -3.1014 8.7075
Sm Ho Tc
1 2 9
Direct
0.0000 0.0000 0.0000
0.1435 0.1435 0.1435
0.8565 0.8565 0.8565
0.0729 0.5892 0.5892
0.3387 0.3387 0.3387
0.4108 0.4108 0.9271
0.4108 0.9271 0.4108
0.5000 0.5000 0.5000
0.5892 0.0729 0.5892
0.5892 0.5892 0.0729
0.6613 0.6613 0.6613
0.9271 0.4108 0.4108
```

Summary:
ρ in kg/m³: 10395
ΔE_f in eV per atom: -0.0464

Entry 8:
VASP calculation (PBE-GGA) on a geometry-optimized ZnNiMoRu2 structure.

Cell and atoms, written as POSCAR:
```
ZnNiMoRu2
1.0
4.6383 0.0000 0.0000
0.0000 4.6383 0.0000
0.0000 0.0000 4.4804
Zn Ni Mo Ru
1 1 1 2
Direct
0.0000 0.0000 0.0000
0.5000 0.5000 0.0000
0.5000 0.5000 0.5000
0.0000 0.5000 0.5000
0.5000 0.0000 0.5000
```

Summary:
ρ in kg/m³: 7273
ΔE_f in eV per atom: 1.3974

Entry 9:
VASP calculation (PBE-GGA) on a geometry-optimized Ca2NbCu structure.

Cell and atoms, written as POSCAR:
```
Ca2NbCu
1.0
0.0000 3.6806 3.6806
3.6806 0.0000 3.6806
3.6806 3.6806 0.0000
Ca Nb Cu
2 1 1
Direct
0.2500 0.2500 0.2500
0.7500 0.7500 0.7500
0.0000 0.0000 0.0000
0.5000 0.5000 0.5000
```

Summary:
Distance to the lowest polymorph of the same formula in meV/atom: 0.0
ρ in kg/m³: 3940
ΔE_f in eV per atom: 0.6554

Entry 10:
VASP calculation (PBE-GGA) on a geometry-optimized BaFeTc3 structure.

Cell and atoms, written as POSCAR:
```
BaFeTc3
1.0
4.9208 0.0000 0.0000
0.0000 4.9208 0.0000
0.0000 0.0000 4.9208
Ba Fe Tc
1 1 3
Direct
0.0000 0.0000 0.0000
0.5000 0.5000 0.5000
0.0000 0.0000 0.5000
0.0000 0.5000 0.0000
0.5000 0.0000 0.0000
```

Summary:
Distance to the lowest polymorph of the same formula in meV/atom: 2345.6
ρ in kg/m³: 6789
ΔE_f in eV per atom: 3.5344

Entry 11:
VASP calculation (PBE-GGA) on a geometry-optimized Y7Cu structure.

Cell and atoms, written as POSCAR:
```
Y7Cu
1.0
0.0000 4.9121 4.9121
4.9121 0.0000 4.9121
4.9121 4.9121 0.0000
Y Cu
7 1
Direct
0.0000 0.0000 0.0000
0.0000 0.0000 0.5000
0.0000 0.5000 0.0000
0.0000 0.5000 0.5000
0.5000 0.0000 0.0000
0.5000 0.0000 0.5000
0.5000 0.5000 0.0000
0.5000 0.5000 0.5000
```

Summary:
ρ in kg/m³: 4805
ΔE_f in eV per atom: 0.1204

Entry 12:
VASP calculation (PBE-GGA) on a geometry-optimized AcNi3C structure.

Cell and atoms, written as POSCAR:
```
AcNi3C
1.0
6.1707 0.0000 0.0000
-3.0854 5.3440 0.0000
0.0000 0.0000 4.9313
Ac Ni C
2 6 2
Direct
0.3333 0.6667 0.2500
0.6667 0.3333 0.7500
0.1391 0.2783 0.7500
0.1391 0.8609 0.7500
0.2783 0.1391 0.2500
0.7217 0.8609 0.7500
0.8609 0.1391 0.2500
0.8609 0.7217 0.2500
0.0000 0.0000 0.0000
0.0000 0.0000 0.5000
```

Summary:
ρ in kg/m³: 8474
ΔE_f in eV per atom: 0.1727

Entry 13:
VASP calculation (PBE-GGA) on a geometry-optimized YCdGe2Pb structure.

Cell and atoms, written as POSCAR:
```
YCdGe2Pb
1.0
5.4003 0.0000 0.0000
0.0000 5.4003 0.0000
0.0000 0.0000 5.7466
Y Cd Ge Pb
1 1 2 1
Direct
0.0000 0.0000 0.0000
0.0000 0.0000 0.5000
0.0000 0.5000 0.0000
0.5000 0.0000 0.0000
0.5000 0.5000 0.5000
```

Summary:
ρ in kg/m³: 5487
ΔE_f in eV per atom: 0.5222

Entry 14:
VASP calculation (PBE-GGA) on a geometry-optimized LaCePm2In4 structure.

Cell and atoms, written as POSCAR:
```
LaCePm2In4
1.0
2.7449 1.5848 8.9756
-2.7449 1.5848 8.9756
0.0000 -3.1695 8.9756
La Ce Pm In
1 1 2 4
Direct
0.0000 0.0000 0.0000
0.5000 0.5000 0.5000
0.2502 0.2502 0.2502
0.7498 0.7498 0.7498
0.1259 0.1259 0.1259
0.3759 0.3759 0.3759
0.6241 0.6241 0.6241
0.8741 0.8741 0.8741
```

Summary:
ρ in kg/m³: 7289
ΔE_f in eV per atom: -0.4535

Entry 15:
VASP calculation (PBE-GGA) on a geometry-optimized Zr4OsRh structure.

Cell and atoms, written as POSCAR:
```
Zr4OsRh
1.0
3.2266 -3.2266 0.0000
3.2266 3.2266 0.0000
-0.0092 0.0000 6.4459
Zr Os Rh
4 1 1
Direct
0.0002 0.5003 0.2466
0.9998 0.4997 0.7534
0.5003 0.0002 0.2466
0.4997 0.9998 0.7534
0.0000 0.0000 0.0000
0.5000 0.5000 0.5000
```

Summary:
Distance to the lowest polymorph of the same formula in meV/atom: 161.6
ρ in kg/m³: 8141
ΔE_f in eV per atom: -0.2867

Entry 16:
VASP calculation (PBE-GGA) on a geometry-optimized Be2TlCdSb structure.

Cell and atoms, written as POSCAR:
```
Be2TlCdSb
1.0
4.5233 0.0000 0.0000
0.0000 4.5233 0.0000
0.0000 0.0000 6.3216
Be Tl Cd Sb
2 1 1 1
Direct
0.0000 0.5000 0.0000
0.5000 0.0000 0.0000
0.0000 0.0000 0.0000
0.5000 0.5000 0.5000
0.0000 0.0000 0.5000
```

Summary:
ρ in kg/m³: 5862
Uncorrected formation energy in eV/atom: 0.8864

Entry 17:
VASP calculation (PBE-GGA) on a geometry-optimized NaMg2MnH8 structure.

Cell and atoms, written as POSCAR:
```
NaMg2MnH8
1.0
5.4127 -1.4893 0.0000
5.4127 1.4893 0.0000
-1.9922 0.0000 5.9358
Na Mg Mn H
1 2 1 8
Direct
0.0000 0.0000 0.0000
0.2955 0.2955 0.2672
0.7045 0.7045 0.7328
0.0000 0.0000 0.5000
0.0875 0.0875 0.7600
0.1432 0.1432 0.4496
0.3204 0.3204 0.9041
0.4738 0.4738 0.6184
0.5262 0.5262 0.3816
0.6796 0.6796 0.0959
0.8568 0.8568 0.5504
0.9125 0.9125 0.2400
```

Summary:
ρ in kg/m³: 2336
Electronic total energy in eV/cell: -41.8

Entry 18:
VASP calculation (PBE-GGA) on a geometry-optimized KBr2O4 structure.

Cell and atoms, written as POSCAR:
```
KBr2O4
1.0
5.2995 -4.1454 0.0000
5.2995 4.1454 0.0000
-5.2954 0.0000 6.6058
K Br O
2 4 8
Direct
0.1246 0.8754 0.5000
0.8754 0.1246 0.0000
0.0323 0.4502 0.7781
0.4502 0.0323 0.2781
0.4953 0.5777 0.7779
0.5777 0.4953 0.2779
0.2639 0.7473 0.8011
0.2699 0.8574 0.2468
0.2869 0.3042 0.8015
0.3042 0.2869 0.3015
0.6391 0.7268 0.7467
0.7268 0.6391 0.2467
0.7473 0.2639 0.3011
0.8574 0.2699 0.7468
```

Summary:
Distance to the lowest polymorph of the same formula in meV/atom: 8.1
ρ in kg/m³: 3008
Uncorrected formation energy in eV/atom: -0.2478

Entry 19:
VASP calculation (PBE-GGA) on a geometry-optimized La8SmTm5 structure.

Cell and atoms, written as POSCAR:
```
La8SmTm5
1.0
8.6021 0.0000 0.0000
-3.9245 7.7261 0.0000
-1.2682 -4.4580 7.3948
La Sm Tm
8 1 5
Direct
0.0000 0.0000 0.0000
0.0146 0.4119 0.8097
0.3874 0.2802 0.8534
0.4145 0.0036 0.4391
0.5282 0.7609 0.0565
0.6766 0.5437 0.6813
0.7970 0.8944 0.5139
0.8507 0.2805 0.3078
0.4817 0.2798 0.2196
0.1316 0.7619 0.6323
0.1834 0.2330 0.4644
0.2674 0.5303 0.2751
0.6214 0.0506 0.8498
0.8986 0.6315 0.1671
```

Summary:
ρ in kg/m³: 7117
ΔE_f in eV per atom: 0.1569

Entry 20:
VASP calculation (PBE-GGA) on a geometry-optimized ThMn3C structure.

Cell and atoms, written as POSCAR:
```
ThMn3C
1.0
4.0331 0.0000 0.0000
0.0000 4.0331 0.0000
0.0000 0.0000 4.0331
Th Mn C
1 3 1
Direct
0.0000 0.0000 0.0000
0.0000 0.5000 0.5000
0.5000 0.0000 0.5000
0.5000 0.5000 0.0000
0.5000 0.5000 0.5000
```

Summary:
ρ in kg/m³: 10349
ΔE_f in eV per atom: 0.0919